(one)
Ga2CuPd (PBE-GGA, optimized geometry); density of states at the Fermi level = 0.95 states/eV per cell; total magnetic moment = 0.00 μB per formula unit; space-group type = R3m (160)
1.0
2.0751 1.1981 4.4243
-2.0751 1.1981 4.4243
0.0000 -2.3961 4.4243
Ga Cu Pd
2 1 1
Direct
0.0000 0.0000 0.0000
0.1932 0.1932 0.1932
0.7881 0.7881 0.7881
0.5885 0.5885 0.5885

---

(two)
Ga2CuPd (PBE-GGA, optimized geometry); density of states at the Fermi level = 1.04 states/eV per cell; total magnetic moment = 0.00 μB per formula unit; space-group type = Fm-3m (225)
1.0
0.0000 3.0795 3.0795
3.0795 0.0000 3.0795
3.0795 3.0795 0.0000
Ga Cu Pd
2 1 1
Direct
0.2500 0.2500 0.2500
0.7500 0.7500 0.7500
0.0000 0.0000 0.0000
0.5000 0.5000 0.5000

---

(two) takes first place; second place is 4.4 kJ/mol of atoms up.

---

(one)
Ga2CuPd (PBE-GGA, optimized geometry); density of states at the Fermi level = 2.15 states/eV per cell; total magnetic moment = 0.00 μB per formula unit; space-group type = P-1 (2)
1.0
3.8759 0.0000 0.0000
-0.0751 5.3828 0.0000
-0.0413 -2.5144 5.6359
Ga Cu Pd
4 2 2
Direct
0.2490 0.1002 0.3619
0.2504 0.3029 0.8881
0.7496 0.6971 0.1119
0.7510 0.8998 0.6381
0.2529 0.8151 0.8764
0.7471 0.1849 0.1236
0.2482 0.5998 0.3635
0.7518 0.4002 0.6365

---

(two)
Ga2CuPd (PBE-GGA, optimized geometry); density of states at the Fermi level = 1.52 states/eV per cell; total magnetic moment = 0.00 μB per formula unit; space-group type = R-3m (166)
1.0
1.4554 0.8403 8.1591
-1.4554 0.8403 8.1591
0.0000 -1.6806 8.1591
Ga Cu Pd
2 1 1
Direct
0.2488 0.2488 0.2488
0.7512 0.7512 0.7512
0.5000 0.5000 0.5000
0.0000 0.0000 0.0000

---

(one) takes first place; second place is 4.4 kJ/mol of atoms up.

---

(one)
Ga2CuPd (PBE-GGA, optimized geometry); density of states at the Fermi level = 1.66 states/eV per cell; total magnetic moment = 0.00 μB per formula unit; space-group type = P4/mmm (123)
1.0
3.1874 0.0000 0.0000
0.0000 3.1874 0.0000
0.0000 0.0000 5.7428
Ga Cu Pd
2 1 1
Direct
0.0000 0.0000 0.2428
0.0000 0.0000 0.7572
0.5000 0.5000 0.0000
0.5000 0.5000 0.5000

---

(two)
Ga2CuPd (PBE-GGA, optimized geometry); density of states at the Fermi level = 3.12 states/eV per cell; total magnetic moment = 0.00 μB per formula unit; space-group type = I-42d (122)
1.0
-3.4859 3.4859 2.6724
3.4859 -3.4859 2.6724
3.4859 3.4859 -2.6724
Ga Cu Pd
4 2 2
Direct
0.1151 0.6250 0.9901
0.3750 0.3651 0.4901
0.6349 0.1250 0.0099
0.8750 0.8849 0.5099
0.0000 0.0000 0.0000
0.7500 0.2500 0.5000
0.2500 0.7500 0.5000
0.5000 0.5000 0.0000

---

(one) takes first place; second place is 23.2 kJ/mol of atoms up.